1.
NaPt3Pb6 (PBE-GGA, relaxed); raw total energy = -4.3011 eV/atom
1.0
11.264 0.000 0.000
0.000 3.779 0.000
-2.959 0.000 11.938
Na Pt Pb
2 6 12
direct
0.041 0.250 0.268
0.959 0.750 0.732
0.074 0.250 0.589
0.305 0.750 0.975
0.335 0.250 0.366
0.665 0.750 0.634
0.695 0.250 0.025
0.926 0.750 0.411
0.111 0.250 0.943
0.190 0.750 0.464
0.235 0.750 0.734
0.240 0.750 0.186
0.463 0.250 0.612
0.471 0.250 0.112
0.529 0.750 0.888
0.537 0.750 0.388
0.760 0.250 0.814
0.765 0.250 0.266
0.810 0.250 0.536
0.889 0.750 0.057

=====

2.
Na3PtPb2 (PBE-GGA, relaxed); raw total energy = -3.0735 eV/atom
1.0
-4.990 6.191 2.897
4.990 -6.191 2.897
4.990 6.191 -2.897
Na Pt Pb
6 2 4
direct
0.194 0.614 0.808
0.250 0.250 0.000
0.306 0.114 0.420
0.694 0.886 0.580
0.750 0.750 0.000
0.806 0.386 0.192
0.250 0.750 0.500
0.750 0.250 0.500
0.081 0.278 0.359
0.419 0.778 0.198
0.581 0.222 0.802
0.919 0.722 0.641

=====

3.
Na3Pt2Pb5 (PBE-GGA, relaxed); raw total energy = -3.5444 eV/atom
1.0
-6.404 6.728 3.464
6.404 -6.728 3.464
6.404 6.728 -3.464
Na Pt Pb
6 4 10
direct
0.100 0.221 0.321
0.250 0.250 0.000
0.400 0.721 0.121
0.600 0.279 0.879
0.750 0.750 0.000
0.900 0.779 0.679
0.135 0.875 0.010
0.365 0.375 0.740
0.635 0.625 0.260
0.865 0.125 0.990
0.010 0.250 0.760
0.135 0.667 0.802
0.250 0.750 0.500
0.365 0.167 0.532
0.490 0.250 0.240
0.510 0.750 0.760
0.635 0.833 0.468
0.750 0.250 0.500
0.865 0.333 0.198
0.990 0.750 0.240

=====

In the order shown, the computed total magnetization values come out to 0.0; 0.0; 0.0 μB per cell.
In the order shown, the computed E_form values come out to -132; -171; -86 meV per atom.